Entry 1:
{"formula": "FeBi4S7", "functional": "GGA-PBE", "state": "optimized geometry", "lattice": [[0.513, -1.684, 6.489], [-3.103, -2.752, 5.292], [4.666, -9.311, -5.783]], "species": ["Bi", "Bi", "Bi", "Bi", "S", "S", "S", "S", "S", "S", "S", "Fe"], "fractional_positions": [[0.681, 0.681, 0.838], [0.120, 0.120, 0.423], [0.880, 0.880, 0.577], [0.319, 0.319, 0.162], [0.357, 0.357, 0.953], [0.029, 0.029, 0.810], [0.971, 0.971, 0.190], [0.500, 0.500, 0.500], [0.643, 0.643, 0.047], [0.745, 0.745, 0.356], [0.255, 0.255, 0.644], [0.000, 0.000, 0.000]], "e_tot_ev_per_atom": -4.7401, "magmom_total_mub_per_fu": 3.99, "mass_density_kg_m3": 6328, "space_group": "No. 12"}



Entry 2:
{"formula": "NdTcBi", "functional": "GGA-PBE", "state": "optimized geometry", "lattice": [[-2.154, -2.498, 3.664], [-4.547, 1.213, 1.471], [-3.786, -3.008, -0.960]], "species": ["Bi", "Tc", "Nd"], "fractional_positions": [[0.000, 0.000, 0.000], [0.750, 0.750, 0.750], [0.250, 0.250, 0.250]], "e_tot_ev_per_atom": -5.9633, "magmom_total_mub_per_fu": 1.93, "mass_density_kg_m3": 8841, "space_group": "No. 216"}



Entry 3:
{"formula": "Dy6ErTe2Pd2", "functional": "GGA-PBE", "state": "optimized geometry", "lattice": [[-6.896, -3.637, 5.348], [8.533, 1.257, 3.873], [-8.640, 2.548, -2.871]], "species": ["Er", "Te", "Te", "Dy", "Dy", "Dy", "Dy", "Dy", "Dy", "Pd", "Pd"], "fractional_positions": [[0.977, 0.477, 0.500], [0.642, 0.142, 0.500], [0.241, 0.241, 0.000], [0.598, 0.742, 0.856], [0.523, 0.894, 0.629], [0.886, 0.742, 0.144], [0.282, 0.101, 0.182], [0.266, 0.894, 0.371], [0.919, 0.101, 0.818], [0.144, 0.406, 0.738], [0.668, 0.406, 0.262]], "e_tot_ev_per_atom": -5.2791, "magmom_total_mub_per_fu": 0.00, "mass_density_kg_m3": 8917, "space_group": "No. 44"}



Entry 4:
{"formula": "GdAsSe2S2", "functional": "GGA-PBE", "state": "optimized geometry", "lattice": [[-5.396, -3.718, -1.654], [1.812, -1.941, -6.314], [3.310, -6.614, 2.828]], "species": ["Se", "Se", "Se", "Se", "Gd", "Gd", "S", "S", "S", "S", "As", "As"], "fractional_positions": [[0.594, 0.238, 0.635], [0.116, 0.001, 0.777], [0.406, 0.762, 0.365], [0.884, 0.999, 0.223], [0.793, 0.301, 0.944], [0.207, 0.699, 0.056], [0.604, 0.718, 0.929], [0.068, 0.516, 0.770], [0.396, 0.282, 0.071], [0.932, 0.484, 0.230], [0.691, 0.744, 0.194], [0.309, 0.256, 0.806]], "e_tot_ev_per_atom": -4.9006, "magmom_total_mub_per_fu": 0.00, "mass_density_kg_m3": 4180, "space_group": "No. 2"}



Entry 5:
{"formula": "Cd2Ga", "functional": "GGA-PBE", "state": "optimized geometry", "lattice": [[0.000, 4.110, 4.110], [4.110, 0.000, 4.110], [4.110, 4.110, 0.000]], "species": ["Cd", "Cd", "Cd", "Cd", "Ga", "Ga"], "fractional_positions": [[0.625, 0.625, 0.125], [0.125, 0.625, 0.625], [0.625, 0.125, 0.625], [0.625, 0.625, 0.625], [0.250, 0.250, 0.250], [0.000, 0.000, 0.000]], "e_tot_ev_per_atom": -1.4730, "mass_density_kg_m3": 7045, "space_group": "No. 227"}



Entry 6:
{"formula": "GaCuHg2", "functional": "GGA-PBE", "state": "optimized geometry", "lattice": [[0.000, 3.431, 3.431], [3.431, 0.000, 3.431], [3.431, 3.431, 0.000]], "species": ["Hg", "Hg", "Ga", "Cu"], "fractional_positions": [[0.000, 0.000, 0.000], [0.750, 0.750, 0.750], [0.500, 0.500, 0.500], [0.250, 0.250, 0.250]], "e_tot_ev_per_atom": -1.5846, "mass_density_kg_m3": 10991, "space_group": "No. 216"}



Entry 7:
{"formula": "AlGeMo4N2", "functional": "GGA-PBE", "state": "optimized geometry", "lattice": [[-0.570, -0.995, -2.704], [1.669, -1.583, 1.826], [-11.324, -6.449, 4.760]], "species": ["Mo", "Mo", "Mo", "Mo", "N", "N", "Ge", "Al"], "fractional_positions": [[0.667, 0.333, 0.842], [0.000, 0.000, 0.651], [0.667, 0.333, 0.158], [0.000, 0.000, 0.349], [0.333, 0.667, 0.253], [0.333, 0.667, 0.747], [0.667, 0.333, 0.500], [0.000, 0.000, 0.000]], "e_tot_ev_per_atom": -8.6538, "magmom_total_mub_per_fu": 0.04, "mass_density_kg_m3": 8192, "space_group": "No. 187"}



Entry 8:
{"formula": "NaTaNi", "functional": "GGA-PBE", "state": "optimized geometry", "lattice": [[3.818, -0.568, 1.776], [0.353, -0.321, 4.222], [0.984, -3.734, 1.772]], "species": ["Na", "Ni", "Ta"], "fractional_positions": [[0.250, 0.250, 0.250], [0.000, 0.000, 0.000], [0.750, 0.750, 0.750]], "e_tot_ev_per_atom": -5.2576, "magmom_total_mub_per_fu": 0.02, "mass_density_kg_m3": 8040, "space_group": "No. 216"}



Entry 9:
{"formula": "LuSiHO4", "functional": "GGA-PBE", "state": "optimized geometry", "lattice": [[7.582, 0.000, 0.113], [0.000, 6.421, 0.000], [-2.690, 0.000, 6.091]], "species": ["Si", "Si", "Si", "Si", "O", "O", "O", "O", "O", "O", "O", "O", "O", "O", "O", "O", "O", "O", "O", "O", "H", "H", "H", "H", "Lu", "Lu", "Lu", "Lu"], "fractional_positions": [[0.754, 0.896, 0.867], [0.246, 0.396, 0.633], [0.246, 0.104, 0.133], [0.754, 0.604, 0.367], [0.728, 0.040, 0.056], [0.532, 0.802, 0.721], [0.805, 0.067, 0.718], [0.105, 0.196, 0.557], [0.895, 0.804, 0.443], [0.272, 0.540, 0.444], [0.272, 0.960, 0.944], [0.805, 0.433, 0.218], [0.468, 0.302, 0.779], [0.532, 0.698, 0.221], [0.195, 0.567, 0.782], [0.105, 0.304, 0.057], [0.895, 0.696, 0.943], [0.468, 0.198, 0.279], [0.728, 0.460, 0.556], [0.195, 0.933, 0.282], [0.526, 0.695, 0.612], [0.474, 0.195, 0.888], [0.474, 0.305, 0.388], [0.526, 0.805, 0.112], [0.797, 0.359, 0.894], [0.203, 0.641, 0.106], [0.797, 0.141, 0.394], [0.203, 0.859, 0.606]], "e_tot_ev_per_atom": -7.4841, "magmom_total_mub_per_fu": 0.00, "mass_density_kg_m3": 5965, "space_group": "No. 14"}



Entry 10:
{"formula": "Rb2Te2PdS", "functional": "GGA-PBE", "state": "optimized geometry", "lattice": [[7.120, 0.000, 0.000], [-2.561, 6.938, 0.000], [-1.674, -3.707, 8.574]], "species": ["Te", "Te", "Te", "Te", "Rb", "Rb", "Rb", "Rb", "Pd", "Pd", "S", "S"], "fractional_positions": [[0.724, 0.866, 0.795], [0.276, 0.134, 0.205], [0.712, 0.701, 0.038], [0.288, 0.299, 0.962], [0.822, 0.297, 0.176], [0.526, 0.273, 0.632], [0.178, 0.703, 0.824], [0.474, 0.727, 0.368], [0.999, 0.955, 0.338], [0.001, 0.045, 0.662], [0.062, 0.778, 0.491], [0.938, 0.222, 0.509]], "e_tot_ev_per_atom": -3.5329, "mass_density_kg_m3": 4427, "space_group": "No. 2"}



Entry 11:
{"formula": "YNiB", "functional": "GGA-PBE", "state": "optimized geometry", "lattice": [[6.246, 0.000, 0.000], [0.000, 3.522, 0.000], [0.000, 0.000, 8.199]], "species": ["B", "B", "B", "B", "Y", "Y", "Y", "Y", "Ni", "Ni", "Ni", "Ni"], "fractional_positions": [[0.196, 0.250, 0.571], [0.696, 0.250, 0.929], [0.304, 0.750, 0.071], [0.804, 0.750, 0.429], [0.521, 0.750, 0.686], [0.479, 0.250, 0.314], [0.979, 0.250, 0.186], [0.021, 0.750, 0.814], [0.366, 0.250, 0.969], [0.634, 0.750, 0.031], [0.866, 0.250, 0.531], [0.134, 0.750, 0.469]], "e_tot_ev_per_atom": -6.6441, "magmom_total_mub_per_fu": 0.00, "mass_density_kg_m3": 5834, "space_group": "No. 62"}



Entry 12:
{"formula": "HfNbNiGe", "functional": "GGA-PBE", "state": "optimized geometry", "lattice": [[-3.155, -3.001, 1.219], [-3.495, -0.845, -2.741], [-0.287, -3.974, -2.139]], "species": ["Ni", "Nb", "Ge", "Hf"], "fractional_positions": [[0.750, 0.750, 0.750], [0.250, 0.250, 0.250], [0.000, 0.000, 0.000], [0.500, 0.500, 0.500]], "e_tot_ev_per_atom": -7.5023, "magmom_total_mub_per_fu": 0.99, "mass_density_kg_m3": 10229, "space_group": "No. 216"}



Entry 13:
{"formula": "TcAsW", "functional": "GGA-PBE", "state": "optimized geometry", "lattice": [[0.000, 2.971, 2.971], [2.971, 0.000, 2.971], [2.971, 2.971, 0.000]], "species": ["Tc", "As", "W"], "fractional_positions": [[0.000, 0.000, 0.000], [0.250, 0.250, 0.250], [0.750, 0.750, 0.750]], "e_tot_ev_per_atom": -9.2103, "magmom_total_mub_per_fu": 0.00, "mass_density_kg_m3": 11292, "space_group": "No. 216"}



Entry 14:
{"formula": "TbYSi4Ni2", "functional": "GGA-PBE", "state": "optimized geometry", "lattice": [[-0.212, 2.741, 2.875], [3.511, -5.430, 5.436], [6.651, -3.516, 3.844]], "species": ["Ni", "Ni", "Y", "Si", "Si", "Si", "Si", "Tb"], "fractional_positions": [[0.000, 0.822, 0.822], [0.500, 0.178, 0.178], [0.000, 0.605, 0.605], [0.000, 0.960, 0.960], [0.000, 0.250, 0.250], [0.500, 0.040, 0.040], [0.500, 0.750, 0.750], [0.500, 0.395, 0.395]], "e_tot_ev_per_atom": -6.3331, "magmom_total_mub_per_fu": 0.00, "mass_density_kg_m3": 6063, "space_group": "No. 38"}



Entry 15:
{"formula": "NaPmAs", "functional": "GGA-PBE", "state": "optimized geometry", "lattice": [[0.000, 3.484, 3.484], [3.484, 0.000, 3.484], [3.484, 3.484, 0.000]], "species": ["Pm", "As", "Na"], "fractional_positions": [[0.000, 0.000, 0.000], [0.250, 0.250, 0.250], [0.750, 0.750, 0.750]], "e_tot_ev_per_atom": -3.8982, "magmom_total_mub_per_fu": 0.01, "mass_density_kg_m3": 4768, "space_group": "No. 216"}



Entry 16:
{"formula": "LuUAg", "functional": "GGA-PBE", "state": "optimized geometry", "lattice": [[0.000, 3.472, 3.472], [3.472, 0.000, 3.472], [3.472, 3.472, 0.000]], "species": ["U", "Ag", "Lu"], "fractional_positions": [[0.750, 0.750, 0.750], [0.000, 0.000, 0.000], [0.250, 0.250, 0.250]], "e_tot_ev_per_atom": -5.4916, "magmom_total_mub_per_fu": 3.68, "mass_density_kg_m3": 10333, "space_group": "No. 216"}



Entry 17:
{"formula": "Ba2LaHg3PdAu2", "functional": "GGA-PBE", "state": "optimized geometry", "lattice": [[4.212, 0.000, 0.000], [0.000, 7.230, 4.127], [0.000, -7.230, 4.127]], "species": ["Hg", "Hg", "Hg", "Ba", "Ba", "Au", "Au", "La", "Pd"], "fractional_positions": [[0.500, 0.247, 0.004], [0.500, 0.756, 0.756], [0.500, 0.004, 0.247], [0.000, 0.005, 0.599], [0.000, 0.599, 0.005], [0.500, 0.342, 0.646], [0.500, 0.646, 0.342], [0.000, 0.389, 0.389], [0.000, 0.011, 0.011]], "e_tot_ev_per_atom": -2.9872, "magmom_total_mub_per_fu": 0.01, "mass_density_kg_m3": 10013, "space_group": "No. 38"}



Entry 18:
{"formula": "NbCdO3", "functional": "GGA-PBE", "state": "optimized geometry", "lattice": [[-1.661, -0.016, 3.593], [-2.239, -3.090, -1.049], [2.948, -2.594, 1.351]], "species": ["Cd", "O", "O", "O", "Nb"], "fractional_positions": [[0.000, 0.000, 0.341], [0.500, 0.500, 0.267], [0.500, 0.000, 0.736], [0.000, 0.500, 0.736], [0.500, 0.500, 0.819]], "e_tot_ev_per_atom": -6.9526, "magmom_total_mub_per_fu": 0.00, "mass_density_kg_m3": 6466, "space_group": "No. 99"}



Entry 19:
{"formula": "La2NdZn2Si4Au2", "functional": "GGA-PBE", "state": "optimized geometry", "lattice": [[-2.136, 2.164, 12.456], [2.136, -2.164, 12.456], [2.136, 2.164, -12.456]], "species": ["Si", "Si", "Si", "Si", "Zn", "Zn", "La", "La", "Nd", "Au", "Au"], "fractional_positions": [[0.453, 0.453, 0.000], [0.691, 0.191, 0.500], [0.309, 0.809, 0.500], [0.547, 0.547, 0.000], [0.594, 0.094, 0.500], [0.406, 0.906, 0.500], [0.146, 0.646, 0.500], [0.854, 0.354, 0.500], [0.000, 0.000, 0.000], [0.750, 0.750, 0.000], [0.250, 0.250, 0.000]], "e_tot_ev_per_atom": -4.7707, "magmom_total_mub_per_fu": 0.00, "mass_density_kg_m3": 7638, "space_group": "No. 71"}



Entry 20:
{"formula": "AsW3C2", "functional": "GGA-PBE", "state": "optimized geometry", "lattice": [[-0.512, 2.247, 2.124], [-1.616, -0.016, -2.685], [-12.448, -9.973, 7.548]], "species": ["C", "C", "C", "C", "W", "W", "W", "W", "W", "W", "As", "As"], "fractional_positions": [[0.333, 0.667, 0.072], [0.667, 0.333, 0.572], [0.667, 0.333, 0.928], [0.333, 0.667, 0.428], [0.000, 0.000, 0.000], [0.333, 0.667, 0.637], [0.333, 0.667, 0.863], [0.667, 0.333, 0.137], [0.667, 0.333, 0.363], [0.000, 0.000, 0.500], [0.000, 0.000, 0.750], [0.000, 0.000, 0.250]], "e_tot_ev_per_atom": -10.0695, "magmom_total_mub_per_fu": 0.00, "mass_density_kg_m3": 14392, "space_group": "No. 194"}



Entry 21:
{"formula": "LaDyH2I4", "functional": "GGA-PBE", "state": "optimized geometry", "lattice": [[4.113, 0.000, 0.000], [-2.056, 3.562, 0.000], [0.000, 0.000, 16.660]], "species": ["Dy", "I", "I", "I", "I", "La", "H", "H"], "fractional_positions": [[0.000, 0.000, 0.000], [0.333, 0.667, 0.124], [0.667, 0.333, 0.366], [0.667, 0.333, 0.634], [0.333, 0.667, 0.876], [0.000, 0.000, 0.500], [0.667, 0.333, 0.000], [0.333, 0.667, 0.500]], "e_tot_ev_per_atom": -4.0427, "magmom_total_mub_per_fu": 0.00, "mass_density_kg_m3": 5519, "space_group": "No. 187"}



Entry 22:
{"formula": "Nd2Pt2W", "functional": "GGA-PBE", "state": "optimized geometry", "lattice": [[4.355, 0.000, 0.000], [-2.178, 3.772, 0.000], [0.000, 0.000, 17.385]], "species": ["Nd", "Nd", "Nd", "Nd", "Pt", "Pt", "Pt", "Pt", "W", "W"], "fractional_positions": [[0.333, 0.667, 0.859], [0.667, 0.333, 0.359], [0.333, 0.667, 0.641], [0.667, 0.333, 0.141], [0.667, 0.333, 0.542], [0.333, 0.667, 0.458], [0.667, 0.333, 0.958], [0.333, 0.667, 0.042], [0.000, 0.000, 0.500], [0.000, 0.000, 0.000]], "e_tot_ev_per_atom": -7.1681, "magmom_total_mub_per_fu": 0.46, "mass_density_kg_m3": 10029, "space_group": "No. 194"}



Entry 23:
{"formula": "Y2TlIr", "functional": "GGA-PBE", "state": "optimized geometry", "lattice": [[0.000, 3.514, 3.514], [3.514, 0.000, 3.514], [3.514, 3.514, 0.000]], "species": ["Y", "Y", "Ir", "Tl"], "fractional_positions": [[0.000, 0.000, 0.000], [0.750, 0.750, 0.750], [0.250, 0.250, 0.250], [0.500, 0.500, 0.500]], "e_tot_ev_per_atom": -6.3223, "magmom_total_mub_per_fu": 0.00, "mass_density_kg_m3": 10987, "space_group": "No. 216"}



Entry 24:
{"formula": "CsRbPAu", "functional": "GGA-PBE", "state": "optimized geometry", "lattice": [[-4.076, -1.180, 5.013], [-4.305, -3.112, -4.233], [4.198, -5.020, -0.578]], "species": ["Au", "Au", "Cs", "Cs", "Rb", "Rb", "P", "P"], "fractional_positions": [[0.000, 0.000, 0.000], [0.000, 0.500, 0.000], [0.183, 0.250, 0.525], [0.817, 0.750, 0.475], [0.522, 0.250, 0.176], [0.478, 0.750, 0.824], [0.234, 0.750, 0.220], [0.766, 0.250, 0.780]], "e_tot_ev_per_atom": -3.0709, "mass_density_kg_m3": 5351, "space_group": "No. 11"}